Material: Rh2ICl
Method: DFT, GGA-PBE
State: optimized geometry

Structure (POSCAR):
```
Rh2ICl
1.0
0.000 3.284 3.284
3.284 0.000 3.284
3.284 3.284 0.000
Rh I Cl
2 1 1
Direct
0.250 0.250 0.250
0.750 0.750 0.750
0.000 0.000 0.000
0.500 0.500 0.500
```

- SG: No. 225
- Magnetization: 0.000 μB per atom
- Polymorph energy (0 for the lowest one): 81.3 meV/atom

Material: RhICl3
Method: DFT, GGA-PBE
State: optimized geometry

Structure (POSCAR):
```
RhICl3
1.0
4.871 0.000 0.000
0.000 4.871 0.000
0.000 0.000 4.871
Rh I Cl
1 1 3
Direct
0.000 0.000 0.000
0.500 0.500 0.500
0.000 0.000 0.500
0.000 0.500 0.000
0.500 0.000 0.000
```

- SG: No. 221
- Magnetization: 0.220 μB per atom
- Polymorph energy (0 for the lowest one): 0.0 meV/atom

Material: RhICl2
Method: DFT, GGA-PBE
State: optimized geometry

Structure (POSCAR):
```
RhICl2
1.0
1.595 0.921 12.340
-1.595 0.921 12.340
0.000 -1.842 12.340
Rh I Cl
1 1 2
Direct
0.000 0.000 0.000
0.500 0.500 0.500
0.059 0.059 0.059
0.941 0.941 0.941
```

- SG: No. 166
- Magnetization: 0.088 μB per atom
- Polymorph energy (0 for the lowest one): 272.3 meV/atom

Material: RhI2Cl
Method: DFT, GGA-PBE
State: optimized geometry

Structure (POSCAR):
```
RhI2Cl
1.0
-3.846 3.846 4.152
3.846 -3.846 4.152
3.846 3.846 -4.152
Rh I Cl
2 4 2
Direct
0.000 0.000 0.000
0.750 0.250 0.500
0.051 0.625 0.926
0.375 0.301 0.426
0.699 0.125 0.074
0.875 0.949 0.574
0.250 0.750 0.500
0.500 0.500 0.000
```

- SG: No. 122
- Magnetization: 0.000 μB per atom
- Polymorph energy (0 for the lowest one): 365.9 meV/atom